1.
# Ce2SmS5

A relaxed structure of Ce2SmS5 (PBE, Alexandria via LeMat-Bulk).

a = 11.972 Å, b = 8.136 Å, c = 7.462 Å
α = 90.00°, β = 90.00°, γ = 90.00°
Fractional coordinates of all 32 atoms:
Ce1 0.180 0.000 0.012
Ce2 0.180 0.500 0.012
Ce3 0.320 0.000 0.512
Ce4 0.320 0.500 0.512
Ce5 0.680 0.000 0.488
Ce6 0.680 0.500 0.488
Ce7 0.820 0.000 0.988
Ce8 0.820 0.500 0.988
Sm1 0.009 0.250 0.578
Sm2 0.491 0.750 0.078
Sm3 0.509 0.250 0.922
Sm4 0.991 0.750 0.422
S1 0.003 0.250 0.966
S2 0.106 0.542 0.661
S3 0.106 0.958 0.661
S4 0.187 0.250 0.324
S5 0.216 0.750 0.293
S6 0.284 0.250 0.793
S7 0.313 0.750 0.824
S8 0.394 0.042 0.161
S9 0.394 0.458 0.161
S10 0.497 0.750 0.466
S11 0.503 0.250 0.534
S12 0.606 0.542 0.839
S13 0.606 0.958 0.839
S14 0.687 0.250 0.176
S15 0.716 0.750 0.207
S16 0.784 0.250 0.707
S17 0.813 0.750 0.676
S18 0.894 0.042 0.339
S19 0.894 0.458 0.339
S20 0.997 0.750 0.034

## Properties
**Magnetic moment**: 4.16 μB/cell
**SG**: Pnma, No. 62
**E_tot**: -52.8 eV/f.u.
**Energy relative to the elements, uncorrected**: -1.945 eV per atom



2.
# CeSm3S4

A relaxed structure of CeSm3S4 (PBE, Alexandria via LeMat-Bulk).

a = 13.313 Å, b = 4.002 Å, c = 6.971 Å
α = 90.00°, β = 100.39°, γ = 90.00°
Fractional coordinates of all 16 atoms:
Ce1 0.000 0.000 0.000
Ce2 0.500 0.500 0.000
Sm1 0.000 0.500 0.500
Sm2 0.248 0.000 0.749
Sm3 0.252 0.500 0.251
Sm4 0.500 0.000 0.500
Sm5 0.748 0.500 0.749
Sm6 0.752 0.000 0.251
S1 0.125 0.000 0.375
S2 0.125 0.500 0.875
S3 0.375 0.000 0.125
S4 0.375 0.500 0.625
S5 0.625 0.000 0.875
S6 0.625 0.500 0.375
S7 0.875 0.000 0.625
S8 0.875 0.500 0.125

## Properties
**Magnetic moment**: 1.33 μB/cell
**SG**: C2/m, No. 12
**E above lowest polymorph**: 0.00 eV/f.u.
**E_tot**: -52.9 eV/f.u.
**Energy relative to the elements, uncorrected**: -2.036 eV per atom



3.
# Ce2Sm3S8

A relaxed structure of Ce2Sm3S8 (PBE, Alexandria via LeMat-Bulk).

a = 8.377 Å, b = 8.377 Å, c = 4.717 Å
α = 90.00°, β = 90.00°, γ = 108.85°
Fractional coordinates of all 13 atoms:
Ce1 0.235 0.765 0.000
Ce2 0.765 0.235 0.000
Sm1 0.217 0.217 0.500
Sm2 0.500 0.500 0.000
Sm3 0.783 0.783 0.500
S1 0.128 0.872 0.500
S2 0.134 0.382 0.000
S3 0.380 0.620 0.500
S4 0.382 0.134 0.000
S5 0.618 0.866 0.000
S6 0.620 0.380 0.500
S7 0.866 0.618 0.000
S8 0.872 0.128 0.500

## Properties
**Magnetic moment**: 1.06 μB/cell
**SG**: Cmmm, No. 65
**E_tot**: -83.0 eV/f.u.
**Energy relative to the elements, uncorrected**: -1.845 eV per atom



4.
# Ce3SmS6

A relaxed structure of Ce3SmS6 (PBE, Alexandria via LeMat-Bulk).

a = 6.850 Å, b = 7.456 Å, c = 12.300 Å
α = 90.00°, β = 123.66°, γ = 90.00°
Fractional coordinates of all 20 atoms:
Ce1 0.000 0.000 0.000
Ce2 0.000 0.500 0.500
Ce3 0.209 0.092 0.748
Ce4 0.209 0.408 0.248
Ce5 0.791 0.592 0.752
Ce6 0.791 0.908 0.252
Sm1 0.500 0.000 0.500
Sm2 0.500 0.500 0.000
S1 0.099 0.186 0.420
S2 0.099 0.314 0.920
S3 0.237 0.688 0.417
S4 0.237 0.812 0.917
S5 0.409 0.069 0.250
S6 0.409 0.431 0.750
S7 0.591 0.569 0.250
S8 0.591 0.931 0.750
S9 0.763 0.188 0.083
S10 0.763 0.312 0.583
S11 0.901 0.686 0.080
S12 0.901 0.814 0.580

## Properties
**Magnetic moment**: 6.01 μB/cell
**SG**: P2_1/c, No. 14
**E above lowest polymorph**: 0.04 eV/f.u.
**E_tot**: -66.7 eV/f.u.
**Energy relative to the elements, uncorrected**: -1.937 eV per atom



5.
# Ce3Sm4S8

A relaxed structure of Ce3Sm4S8 (PBE, Alexandria via LeMat-Bulk).

a = 8.029 Å, b = 8.029 Å, c = 8.014 Å
α = 119.93°, β = 119.93°, γ = 90.03°
Fractional coordinates of all 15 atoms:
Ce1 0.000 0.000 0.000
Ce2 0.000 0.500 0.000
Ce3 0.500 0.000 0.000
Sm1 0.000 0.500 0.500
Sm2 0.500 0.000 0.500
Sm3 0.500 0.500 0.000
Sm4 0.500 0.500 0.500
S1 0.251 0.251 0.500
S2 0.251 0.749 0.000
S3 0.251 0.749 0.500
S4 0.252 0.252 0.002
S5 0.748 0.748 0.998
S6 0.749 0.251 0.000
S7 0.749 0.251 0.500
S8 0.749 0.749 0.500

## Properties
**Magnetic moment**: 3.17 μB/cell
**SG**: C2/m, No. 12
**E_tot**: -100.4 eV/f.u.
**Energy relative to the elements, uncorrected**: -2.046 eV per atom



6.
# CeSmS2

A relaxed structure of CeSmS2 (PBE, Alexandria via LeMat-Bulk).

a = 3.925 Å, b = 3.925 Å, c = 21.113 Å
α = 90.00°, β = 90.00°, γ = 120.00°
Fractional coordinates of all 12 atoms:
Ce1 0.000 0.000 0.000
Ce2 0.333 0.667 0.667
Ce3 0.667 0.333 0.333
Sm1 0.000 0.000 0.824
Sm2 0.333 0.667 0.491
Sm3 0.667 0.333 0.157
S1 0.000 0.000 0.243
S2 0.000 0.000 0.414
S3 0.333 0.667 0.081
S4 0.333 0.667 0.909
S5 0.667 0.333 0.576
S6 0.667 0.333 0.748

## Properties
**Magnetic moment**: 3.39 μB/cell
**SG**: R3m, No. 160
**E above lowest polymorph**: 0.41 eV/f.u.
**E_tot**: -26.7 eV/f.u.
**Energy relative to the elements, uncorrected**: -1.937 eV per atom